1.
## YMg2OsO8 (PBE)

Data for a relaxed YMg2OsO8 crystal.

DOS at the Fermi energy	2.5	states/eV/f.u.
magnetization	0.39	μB/cell
uncorrected formation energy	-1871	meV per atom
VASP energy	-166.005	eV/cell
theoretical density	5.18	g/cm3

```
data_YMg2OsO8
_chemical_formula_sum 'Y2 Mg4 Os2 O16'
_space_group_name_H-M_alt 'C m m m'
_space_group_IT_number 65
_space_group_name_Hall '-C 2 2'
_cell_length_a 6.5288
_cell_length_b 6.8129
_cell_length_c 6.5700
_cell_angle_alpha 90.00
_cell_angle_beta 90.00
_cell_angle_gamma 90.00
loop_
_atom_site_label
_atom_site_type_symbol
_atom_site_fract_x
_atom_site_fract_y
_atom_site_fract_z
Y1 Y 0.0000 0.0000 0.0000
Mg1 Mg 0.0000 0.5000 0.2615
Os1 Os 0.0000 0.0000 0.5000
O1 O 0.0000 0.1903 0.2947
O2 O 0.1714 0.5000 0.0000
O3 O 0.2133 0.5000 0.5000
```


2.
## YMgOsO2 (PBE)

Data for a relaxed YMgOsO2 crystal.

DOS at the Fermi energy	4.8	states/eV/f.u.
magnetization	0.53	μB/cell
uncorrected formation energy	-80	meV per atom
VASP energy	-29.605	eV/cell
theoretical density	6.11	g/cm3

```
data_YMgOsO2
_chemical_formula_sum 'Y1 Mg1 Os1 O2'
_space_group_name_H-M_alt 'P 4/m m m'
_space_group_IT_number 123
_space_group_name_Hall '-P 4 2'
_cell_length_a 3.9875
_cell_length_b 3.9875
_cell_length_c 5.7376
_cell_angle_alpha 90.00
_cell_angle_beta 90.00
_cell_angle_gamma 90.00
loop_
_atom_site_label
_atom_site_type_symbol
_atom_site_fract_x
_atom_site_fract_y
_atom_site_fract_z
Y1 Y 0.0000 0.0000 0.0000
Mg1 Mg 0.5000 0.5000 0.0000
Os1 Os 0.0000 0.0000 0.5000
O1 O 0.0000 0.5000 0.5000
```


3.
## Mg2ZrOsO8 (PBE)

Data for a relaxed Mg2ZrOsO8 crystal.

DOS at the Fermi energy	2.3	states/eV/f.u.
magnetization	0.31	μB/cell
uncorrected formation energy	-1983	meV per atom
VASP energy	-172.851	eV/cell
theoretical density	5.32	g/cm3

```
data_Mg2ZrOsO8
_chemical_formula_sum 'Mg4 Zr2 Os2 O16'
_space_group_name_H-M_alt 'C m m m'
_space_group_IT_number 65
_space_group_name_Hall '-C 2 2'
_cell_length_a 6.6098
_cell_length_b 6.8767
_cell_length_c 6.2933
_cell_angle_alpha 90.00
_cell_angle_beta 90.00
_cell_angle_gamma 90.00
loop_
_atom_site_label
_atom_site_type_symbol
_atom_site_fract_x
_atom_site_fract_y
_atom_site_fract_z
Mg1 Mg 0.0000 0.0000 0.2462
Zr1 Zr 0.0000 0.5000 0.0000
Os1 Os 0.0000 0.5000 0.5000
O1 O 0.0000 0.3118 0.2811
O2 O 0.1970 0.0000 0.0000
O3 O 0.2174 0.0000 0.5000
```


4.
## Mg2ZrOsO (PBE)

Data for a relaxed Mg2ZrOsO crystal.

DOS at the Fermi energy	2.5	states/eV/f.u.
magnetization	0.00	μB/cell
uncorrected formation energy	-936	meV per atom
VASP energy	-32.608	eV/cell
theoretical density	7.61	g/cm3

```
data_Mg2ZrOsO
_chemical_formula_sum 'Mg2 Zr1 Os1 O1'
_space_group_name_H-M_alt 'P 4/m m m'
_space_group_IT_number 123
_space_group_name_Hall '-P 4 2'
_cell_length_a 4.0065
_cell_length_b 4.0065
_cell_length_c 4.7063
_cell_angle_alpha 90.00
_cell_angle_beta 90.00
_cell_angle_gamma 90.00
loop_
_atom_site_label
_atom_site_type_symbol
_atom_site_fract_x
_atom_site_fract_y
_atom_site_fract_z
Mg1 Mg 0.0000 0.5000 0.0000
Zr1 Zr 0.0000 0.0000 0.5000
Os1 Os 0.5000 0.5000 0.5000
O1 O 0.0000 0.0000 0.0000
```


5.
## Mg2P3O9 (PBE)

Data for a relaxed Mg2P3O9 crystal.

DOS at the Fermi energy	1.7	states/eV/f.u.
magnetization	0.47	μB/cell
uncorrected formation energy	-2136	meV per atom
VASP energy	-187.899	eV/cell
theoretical density	2.77	g/cm3

```
data_Mg2P3O9
_chemical_formula_sum 'Mg4 P6 O18'
_space_group_name_H-M_alt 'P 63/m'
_space_group_IT_number 176
_space_group_name_Hall '-P 6c'
_cell_length_a 6.4316
_cell_length_b 6.4316
_cell_length_c 9.5536
_cell_angle_alpha 90.00
_cell_angle_beta 90.00
_cell_angle_gamma 120.00
loop_
_atom_site_label
_atom_site_type_symbol
_atom_site_fract_x
_atom_site_fract_y
_atom_site_fract_z
Mg1 Mg 0.3333 0.6667 0.0052
P1 P 0.0095 0.7351 0.7500
O1 O 0.0105 0.7801 0.2500
O2 O 0.0269 0.6285 0.6110
```


6.
## MgP3O (PBE)

Data for a relaxed MgP3O crystal.

excess energy over the best structure of this formula in the dataset	1176.9	meV/atom
DOS at the Fermi energy	3.9	states/eV/f.u.
magnetization	2.05	μB/cell
uncorrected formation energy	1468	meV per atom
VASP energy	-15.443	eV/cell
theoretical density	2.07	g/cm3

```
data_MgP3O
_chemical_formula_sum 'Mg1 P3 O1'
_space_group_name_H-M_alt 'P m -3 m'
_space_group_IT_number 221
_space_group_name_Hall '-P 4 2 3'
_cell_length_a 4.7460
_cell_length_b 4.7460
_cell_length_c 4.7460
_cell_angle_alpha 90.00
_cell_angle_beta 90.00
_cell_angle_gamma 90.00
loop_
_atom_site_label
_atom_site_type_symbol
_atom_site_fract_x
_atom_site_fract_y
_atom_site_fract_z
Mg1 Mg 0.0000 0.0000 0.0000
P1 P 0.0000 0.0000 0.5000
O1 O 0.5000 0.5000 0.5000
```


7.
## MgP3O (PBE)

Data for a relaxed MgP3O crystal.

excess energy over the best structure of this formula in the dataset	0.0	meV/atom
DOS at the Fermi energy	2.3	states/eV/f.u.
magnetization	0.00	μB/cell
uncorrected formation energy	291	meV per atom
VASP energy	-21.327	eV/cell
theoretical density	2.97	g/cm3

```
data_MgP3O
_chemical_formula_sum 'Mg1 P3 O1'
_space_group_name_H-M_alt 'P m -3 m'
_space_group_IT_number 221
_space_group_name_Hall '-P 4 2 3'
_cell_length_a 4.2054
_cell_length_b 4.2054
_cell_length_c 4.2054
_cell_angle_alpha 90.00
_cell_angle_beta 90.00
_cell_angle_gamma 90.00
loop_
_atom_site_label
_atom_site_type_symbol
_atom_site_fract_x
_atom_site_fract_y
_atom_site_fract_z
Mg1 Mg 0.0000 0.0000 0.0000
P1 P 0.0000 0.5000 0.5000
O1 O 0.5000 0.5000 0.5000
```


8.
## MgP2O6 (PBE)

Data for a relaxed MgP2O6 crystal.

DOS at the Fermi energy	0.0	states/eV/f.u.
magnetization	0.00	μB/cell
uncorrected formation energy	-2378	meV per atom
VASP energy	-254.257	eV/cell
theoretical density	2.87	g/cm3

```
data_MgP2O6
_chemical_formula_sum 'Mg4 P8 O24'
_space_group_name_H-M_alt 'C 1 2/c 1'
_space_group_IT_number 15
_cell_length_a 9.8045
_cell_length_b 8.9775
_cell_length_c 5.0401
_cell_angle_alpha 90.00
_cell_angle_beta 107.86
_cell_angle_gamma 90.00
loop_
_space_group_symop_operation_xyz
'x,y,z'
'-x,-y,-z'
'-x,y,-z+1/2'
'x,-y,z+1/2'
'x+1/2,y+1/2,z'
'-x+1/2,-y+1/2,-z'
'-x+1/2,y+1/2,-z+1/2'
'x+1/2,-y+1/2,z+1/2'
loop_
_atom_site_label
_atom_site_type_symbol
_atom_site_fract_x
_atom_site_fract_y
_atom_site_fract_z
Mg1 Mg 0.0000 0.1122 0.2500
P1 P 0.2130 0.4107 0.2428
O1 O 0.1255 0.0709 0.6578
O2 O 0.1481 0.2592 0.2018
O3 O 0.1477 0.4990 0.4564
```


Q: DOS at the Fermi energy of number 3 (Mg2ZrOsO8)?
A: 2.3 states/eV/f.u.


Q: theoretical density of number 5 (Mg2P3O9)?
A: 2.77 g/cm3


Q: What is the magnetization in the third record?
A: 0.31 μB/cell


Copy entry 8 word for word.
## MgP2O6 (PBE)

Data for a relaxed MgP2O6 crystal.

DOS at the Fermi energy	0.0	states/eV/f.u.
magnetization	0.00	μB/cell
uncorrected formation energy	-2378	meV per atom
VASP energy	-254.257	eV/cell
theoretical density	2.87	g/cm3

```
data_MgP2O6
_chemical_formula_sum 'Mg4 P8 O24'
_space_group_name_H-M_alt 'C 1 2/c 1'
_space_group_IT_number 15
_cell_length_a 9.8045
_cell_length_b 8.9775
_cell_length_c 5.0401
_cell_angle_alpha 90.00
_cell_angle_beta 107.86
_cell_angle_gamma 90.00
loop_
_space_group_symop_operation_xyz
'x,y,z'
'-x,-y,-z'
'-x,y,-z+1/2'
'x,-y,z+1/2'
'x+1/2,y+1/2,z'
'-x+1/2,-y+1/2,-z'
'-x+1/2,y+1/2,-z+1/2'
'x+1/2,-y+1/2,z+1/2'
loop_
_atom_site_label
_atom_site_type_symbol
_atom_site_fract_x
_atom_site_fract_y
_atom_site_fract_z
Mg1 Mg 0.0000 0.1122 0.2500
P1 P 0.2130 0.4107 0.2428
O1 O 0.1255 0.0709 0.6578
O2 O 0.1481 0.2592 0.2018
O3 O 0.1477 0.4990 0.4564
```